Record 1
The following is a DFT calculation (PBE with a Hubbard U) of an optimized crystal structure of PaV3O6.

Calculated values
Crystal system: trigonal
Symmetry: R3 (146)
Density, g cm⁻³: 6.42
Total energy, eV/atom: -8.572

abc: 5.3935 5.3935 5.8262
angles: 62.43 62.43 60.00
With the nearest neighbours (Å) after each atom.
Element x y z (fractional)
Pa 0.8555 0.8555 0.4336  6 O 2.19-2.24
V 0.3503 0.3503 0.9490  6 O 2.18-2.21
V 0.6514 0.6514 0.0459  6 O 2.04-2.12
V 0.1503 0.1503 0.5492  6 O 2.14-2.20
O 0.9326 0.5375 0.2508  3 V 2.04-2.21, 1 Pa 2.19
O 0.2791 0.9326 0.2508  3 V 2.04-2.21, 1 Pa 2.19
O 0.5375 0.2791 0.2508  3 V 2.04-2.21, 1 Pa 2.19
O 0.0346 0.4509 0.7566  3 V 2.12-2.18, 1 Pa 2.24
O 0.7579 0.0346 0.7566  3 V 2.12-2.18, 1 Pa 2.24
O 0.4509 0.7579 0.7566  3 V 2.12-2.18, 1 Pa 2.24



Record 2
The following is a DFT calculation (PBE with a Hubbard U) of an optimized crystal structure of PaVO2.

Calculated values
Crystal system: trigonal
Symmetry: R-3m (166)
Density, g cm⁻³: 8.32
Total energy, eV/atom: -8.644

abc: 3.4322 3.4322 6.4544
angles: 74.58 74.58 60.00
With the nearest neighbours (Å) after each atom.
Element x y z (fractional)
Pa 0.0000 0.0000 0.0000  2 O 2.09
O 0.1133 0.1133 0.6601  1 Pa 2.09, 3 V 2.21
O 0.8867 0.8867 0.3399  1 Pa 2.09, 3 V 2.21
V 0.5000 0.5000 0.5000  6 O 2.21



Record 3
The following is a DFT calculation (PBE with a Hubbard U) of an optimized crystal structure of PaVO5.

Calculated values
Crystal system: monoclinic
Symmetry: C2/c (15)
Density, g cm⁻³: 4.64
Total energy, eV/atom: -8.709

abc: 6.0018 6.0018 8.1581
angles: 108.67 108.67 93.62
With the nearest neighbours (Å) after each atom.
Element x y z (fractional)
Pa 0.0000 0.0000 0.0000  6 O 2.11-2.23
Pa 0.0000 0.0000 0.5000  6 O 2.11-2.23
V 0.6396 0.3604 0.7500  4 O 1.74
V 0.3604 0.6396 0.2500  4 O 1.74
O 0.7243 0.6697 0.8608  1 V 1.74
O 0.2757 0.3303 0.1392  1 V 1.74
O 0.3303 0.2757 0.6392  1 V 1.74
O 0.6697 0.7243 0.3608  1 V 1.74
O 0.0607 0.9393 0.7500  2 Pa 2.11
O 0.9393 0.0607 0.2500  2 Pa 2.11
O 0.7367 0.2237 0.9127  1 V 1.74
O 0.2633 0.7763 0.0873  1 V 1.74
O 0.7763 0.2633 0.5873  1 V 1.74
O 0.2237 0.7367 0.4127  1 V 1.74



Record 4
The following is a DFT calculation (PBE with a Hubbard U) of an optimized crystal structure of PaVO3.

Calculated values
Crystal system: cubic
Symmetry: Pm-3m (221)
Density, g cm⁻³: 6.62
Total energy, eV/atom: -8.493

abc: 4.3579 4.3579 4.3579
angles: 90.00 90.00 90.00
With the nearest neighbours (Å) after each atom.
Element x y z (fractional)
Pa 0.0000 0.0000 0.0000  6 O 2.18
O 0.0000 0.5000 0.0000  2 Pa 2.18
O 0.0000 0.0000 0.5000  2 Pa 2.18
O 0.5000 0.0000 0.0000  2 Pa 2.18
V 0.5000 0.5000 0.5000  12 O 3.08